No. 1
Entry from Alexandria via LeMat-Bulk: AlTcB2 after structural relaxation (PBE-GGA).

The formation energy is 0.641 eV per atom.

Cell lengths 5.0318, 5.0318, 5.7186 Å; angles 63.90, 63.90, 90.00 degrees
Fractional coordinates of all 8 atoms:
Tc 0.7500 0.2500 0.5000
Tc 0.0000 0.0000 0.0000
B 0.6540 0.1250 0.2500
B 0.3750 0.3460 0.7500
B 0.8750 0.9040 0.7500
B 0.0960 0.6250 0.2500
Al 0.2500 0.7500 0.5000
Al 0.5000 0.5000 0.0000

No. 2
Entry from Alexandria via LeMat-Bulk: LiLa2Nd after structural relaxation (PBE-GGA).

The formation energy is 0.161 eV per atom.

Cell lengths 5.7331, 5.7331, 5.7331 Å; angles 60.00, 60.00, 60.00 degrees
Fractional coordinates of all 4 atoms:
La 0.2500 0.2500 0.2500
La 0.7500 0.7500 0.7500
Nd 0.0000 0.0000 0.0000
Li 0.5000 0.5000 0.5000

No. 3
Entry from Alexandria via LeMat-Bulk: Tb6Si2SnTe3 after structural relaxation (PBE-GGA).

As for the energy relative to the elements, uncorrected: -1.086 eV per atom.

Cell lengths 4.2768, 8.7370, 9.7004 Å; angles 103.80, 102.74, 90.00 degrees
Fractional coordinates of all 12 atoms:
Tb 0.6744 0.5665 0.3487
Tb 0.3256 0.4335 0.6513
Tb 0.3329 0.8923 0.6659
Tb 0.6671 0.1077 0.3341
Tb 0.9903 0.7491 0.9807
Tb 0.0097 0.2509 0.0193
Te 0.8359 0.1676 0.6717
Te 0.1641 0.8324 0.3283
Te 0.5000 0.5000 0.0000
Sn 0.5000 0.0000 0.0000
Si 0.8322 0.6643 0.6643
Si 0.1678 0.3357 0.3357

No. 4
Entry from Alexandria via LeMat-Bulk: CuRu2Cl after structural relaxation (PBE-GGA).

As for the energy relative to the elements, uncorrected: 0.943 eV per atom.

Cell lengths 4.2720, 4.2720, 4.2720 Å; angles 60.00, 60.00, 60.00 degrees
Fractional coordinates of all 4 atoms:
Ru 0.7500 0.7500 0.7500
Ru 0.2500 0.2500 0.2500
Cu 0.5000 0.5000 0.5000
Cl 0.0000 0.0000 0.0000